## Mg6CrCuO8 (PBE with a Hubbard U)

Data for Mg6CrCuO8 after structural relaxation.

Calculated values
Its excess energy over the best structure of this formula in the dataset is 0.018 eV per atom. As for the density of states at the Fermi level: 3.17 states/eV per cell. Its total energy is -6.093 eV per atom.

Lattice parameters (Å, degrees): 4.2540 4.2540 8.6363 90.00 90.00 90.00
Sites, in units of the cell vectors:
Mg 0.0000 0.0000 0.0000
Mg 0.0000 0.5000 0.2503
Mg 0.0000 0.5000 0.7497
Mg 0.5000 0.0000 0.2503
Mg 0.5000 0.0000 0.7497
Mg 0.5000 0.5000 0.0000
Cr 0.0000 0.0000 0.5000
Cu 0.5000 0.5000 0.5000
O 0.0000 0.0000 0.2576
O 0.0000 0.0000 0.7424
O 0.0000 0.5000 0.0000
O 0.0000 0.5000 0.5000
O 0.5000 0.0000 0.0000
O 0.5000 0.0000 0.5000
O 0.5000 0.5000 0.2366
O 0.5000 0.5000 0.7634